(1)
Material: LaTb2SbO8
Method: DFT, PBE
State: optimized geometry

Computed properties:
Calculated total energy ... -7.299 eV/atom

a = 4.192 Å, b = 7.441 Å, c = 5.296 Å
α = 90.00°, β = 93.69°, γ = 90.00°
Space group P2/m (No. 10)
One atom of each set of equivalent atoms:
La1 0.000 0.000 0.000 (multiplicity 1)
Tb1 0.500 0.258 0.500 (multiplicity 2)
Sb1 0.000 0.500 0.000 (multiplicity 1)
O1 0.056 0.291 0.754 (multiplicity 4)
O2 0.418 0.500 0.210 (multiplicity 2)
O3 0.489 0.000 0.260 (multiplicity 2)

---

(2)
Material: LaTbSb2O8
Method: DFT, PBE
State: optimized geometry

Computed properties:
Calculated total energy ... -7.113 eV/atom

a = 5.370 Å, b = 5.370 Å, c = 11.523 Å
α = 90.00°, β = 90.00°, γ = 90.00°
Space group I-4 (No. 82)
One atom of each set of equivalent atoms:
La1 0.000 0.000 0.000 (multiplicity 2)
Tb1 0.000 0.500 0.750 (multiplicity 2)
Sb1 0.000 0.000 0.500 (multiplicity 2)
Sb2 0.000 0.500 0.250 (multiplicity 2)
O1 0.167 0.252 0.590 (multiplicity 8)
O2 0.182 0.749 0.165 (multiplicity 8)

---

(3)
Material: LaSbTe2O
Method: DFT, PBE
State: optimized geometry

Computed properties:
Polymorph energy (0 for the lowest one) ... 2275 meV per atom

a = 6.066 Å, b = 6.066 Å, c = 6.299 Å
α = 90.00°, β = 90.00°, γ = 90.00°
Space group P4/mmm (No. 123)
One atom of each set of equivalent atoms:
La1 0.000 0.000 0.000 (multiplicity 1)
Sb1 0.000 0.000 0.500 (multiplicity 1)
Te1 0.000 0.500 0.000 (multiplicity 2)
O1 0.500 0.500 0.500 (multiplicity 1)

---

(4)
Material: LaSb2TeO
Method: DFT, PBE
State: optimized geometry

Computed properties:
Polymorph energy (0 for the lowest one) ... 0 meV per atom

a = 4.841 Å, b = 4.841 Å, c = 5.097 Å
α = 90.00°, β = 90.00°, γ = 90.00°
Space group P4/mmm (No. 123)
One atom of each set of equivalent atoms:
La1 0.000 0.000 0.000 (multiplicity 1)
Sb1 0.000 0.500 0.500 (multiplicity 2)
Te1 0.500 0.500 0.000 (multiplicity 1)
O1 0.500 0.500 0.500 (multiplicity 1)

---

(5)
Material: LaSb2TeO
Method: DFT, PBE
State: optimized geometry

Computed properties:
Polymorph energy (0 for the lowest one) ... 1657 meV per atom

a = 6.161 Å, b = 6.161 Å, c = 5.998 Å
α = 90.00°, β = 90.00°, γ = 90.00°
Space group P4/mmm (No. 123)
One atom of each set of equivalent atoms:
La1 0.000 0.000 0.000 (multiplicity 1)
Sb1 0.000 0.500 0.000 (multiplicity 2)
Te1 0.000 0.000 0.500 (multiplicity 1)
O1 0.500 0.500 0.500 (multiplicity 1)

---

(6)
Material: LaSbTe2O
Method: DFT, PBE
State: optimized geometry

Computed properties:
Polymorph energy (0 for the lowest one) ... 766 meV per atom

a = 5.034 Å, b = 5.034 Å, c = 4.782 Å
α = 90.00°, β = 90.00°, γ = 90.00°
Space group P4/mmm (No. 123)
One atom of each set of equivalent atoms:
La1 0.000 0.000 0.000 (multiplicity 1)
Sb1 0.500 0.500 0.000 (multiplicity 1)
Te1 0.000 0.500 0.500 (multiplicity 2)
O1 0.500 0.500 0.500 (multiplicity 1)

---

(7)
Material: LaSbTe2O
Method: DFT, PBE
State: optimized geometry

Computed properties:
Polymorph energy (0 for the lowest one) ... 0 meV per atom

a = 4.264 Å, b = 4.264 Å, c = 15.805 Å
α = 90.00°, β = 90.00°, γ = 90.00°
Space group P4/nmm (No. 129, origin choice 2)
One atom of each set of equivalent atoms:
La1 0.250 0.250 0.074 (multiplicity 2)
Sb1 0.250 0.250 0.636 (multiplicity 2)
Te1 0.250 0.250 0.402 (multiplicity 2)
Te2 0.250 0.250 0.813 (multiplicity 2)
O1 0.250 0.750 0.000 (multiplicity 2)

---

(8)
Material: LaTiSbO6
Method: DFT, PBE
State: optimized geometry

Computed properties:
Calculated total energy ... -7.801 eV/atom

a = 5.2770 Å, b = 5.2770 Å, c = 10.4062 Å
α = 90.00°, β = 90.00°, γ = 120.00°
Space group P-31c (No. 163)
One atom of each set of equivalent atoms:
La1 0.0000 0.0000 0.0000 (multiplicity 2)
Ti1 0.3333 0.6667 0.2500 (multiplicity 2)
Sb1 0.3333 0.6667 0.7500 (multiplicity 2)
O1 0.0031 0.3741 0.1437 (multiplicity 12)

---

(9)
Material: LaTl2SbO8
Method: DFT, PBE
State: optimized geometry

Computed properties:
Calculated total energy ... -5.704 eV/atom

a = 4.684 Å, b = 7.453 Å, c = 5.080 Å
α = 90.00°, β = 93.47°, γ = 90.00°
Space group P2/m (No. 10)
One atom of each set of equivalent atoms:
La1 0.000 0.000 0.000 (multiplicity 1)
Tl1 0.500 0.284 0.500 (multiplicity 2)
Sb1 0.000 0.500 0.000 (multiplicity 1)
O1 0.156 0.000 0.538 (multiplicity 2)
O2 0.224 0.279 0.149 (multiplicity 4)
O3 0.240 0.500 0.694 (multiplicity 2)

---

(10)
Material: La4TlSbO
Method: DFT, PBE
State: optimized geometry

Computed properties:
Calculated total energy ... -5.739 eV/atom

a = 6.924 Å, b = 17.318 Å, c = 6.912 Å
α = 90.00°, β = 90.00°, γ = 90.00°
Space group Cmcm (No. 63)
One atom of each set of equivalent atoms:
La1 0.000 0.077 0.250 (multiplicity 4)
La2 0.000 0.421 0.250 (multiplicity 4)
La3 0.250 0.250 0.000 (multiplicity 8)
Tl1 0.000 0.110 0.750 (multiplicity 4)
Sb1 0.000 0.389 0.750 (multiplicity 4)
O1 0.000 0.250 0.250 (multiplicity 4)